A plane-wave DFT calculation with GGA-PBEsol was carried out for a geometry-optimized Re2WSe structure.

Unit cell a=4.456 b=4.456 c=3.036 alpha=90.00 beta=90.00 gamma=90.00
Sites, in units of the cell vectors:
Re1 0.000 0.500 0.000
Re2 0.500 0.000 0.000
W1 0.000 0.000 0.500
Se1 0.500 0.500 0.500

Results
Total DFT energy (no corrections) (eV per atom): -10.5728
Total magnetization (μB/cell): 0.00
Symmetry: P4/mmm, No. 123



A plane-wave DFT calculation with GGA-PBEsol was carried out for a geometry-optimized YInIr2 structure.

Unit cell a=3.360 b=3.360 c=6.335 alpha=90.00 beta=90.00 gamma=90.00
Sites, in units of the cell vectors:
Y1 0.000 0.000 0.000
In1 0.000 0.000 0.500
Ir1 0.500 0.500 0.265
Ir2 0.500 0.500 0.735

Results
Total DFT energy (no corrections) (eV per atom): -7.7920
Total magnetization (μB/cell): 0.00
Symmetry: P4/mmm, No. 123